Here is a PBEsol-optimized structure of AlBRu2F from Alexandria via LeMat-Bulk. Energies are from SCAN.

Lattice parameters (Å, degrees): 4.2353 4.2353 3.4069 90.00 90.00 90.00
Positions (direct):
Al (0.0000, 0.0000, 0.0000)
B (0.5000, 0.5000, 0.5000)
Ru (0.0000, 0.5000, 0.5000)
Ru (0.5000, 0.0000, 0.5000)
F (0.5000, 0.5000, 0.0000)

Calculated values
Formation energy without anion corrections ... 0.55 eV per formula unit
Symmetry ... P4/mmm (123)


Here is a PBEsol-optimized structure of MnCr2Se from Alexandria via LeMat-Bulk. Energies are from SCAN.

Lattice parameters (Å, degrees): 4.3578 4.3578 4.2696 104.43 104.43 38.54
Positions (direct):
Mn (0.0000, 0.0000, 0.0000)
Cr (0.2672, 0.2672, 0.8722)
Cr (0.4925, 0.4925, 0.4911)
Se (0.7553, 0.7553, 0.3567)

Calculated values
Formation energy without anion corrections ... 0.48 eV per formula unit
Symmetry ... Cm (8)


Here is a PBEsol-optimized structure of TaNiRh2 from Alexandria via LeMat-Bulk. Energies are from SCAN.

Lattice parameters (Å, degrees): 4.2788 4.2788 4.2788 60.00 60.00 60.00
Positions (direct):
Ta (0.0000, 0.0000, 0.0000)
Ni (0.7500, 0.7500, 0.7500)
Rh (0.2500, 0.2500, 0.2500)
Rh (0.5000, 0.5000, 0.5000)

Calculated values
Formation enthalpy at 0 K ... -0.153 eV/atom
Symmetry ... F-43m (216)


Here is a PBEsol-optimized structure of Sr2CuSbO from Alexandria via LeMat-Bulk. Energies are from SCAN.

Lattice parameters (Å, degrees): 5.1904 5.1904 4.0703 90.00 90.00 90.00
Positions (direct):
Sr (0.0000, 0.5000, 0.0000)
Sr (0.5000, 0.0000, 0.0000)
Cu (0.0000, 0.0000, 0.5000)
Sb (0.5000, 0.5000, 0.5000)
O (0.0000, 0.0000, 0.0000)

Calculated values
Formation energy without anion corrections ... -6.62 eV per formula unit
Symmetry ... P4/mmm (123)


Here is a PBEsol-optimized structure of KRe2IrPt from Alexandria via LeMat-Bulk. Energies are from SCAN.

Lattice parameters (Å, degrees): 4.7291 4.7291 5.0956 90.00 90.00 90.00
Positions (direct):
K (0.0000, 0.0000, 0.0000)
Re (0.0000, 0.5000, 0.5000)
Re (0.5000, 0.0000, 0.5000)
Ir (0.5000, 0.5000, 0.5000)
Pt (0.5000, 0.5000, 0.0000)

Calculated values
Formation enthalpy at 0 K ... 1.678 eV/atom
Symmetry ... P4/mmm (123)


Here is a PBEsol-optimized structure of Mg2TlI from Alexandria via LeMat-Bulk. Energies are from SCAN.

Lattice parameters (Å, degrees): 6.7568 6.7568 6.7568 103.98 103.98 121.13
Positions (direct):
Mg (0.1158, 0.1250, 0.4908)
Mg (0.3750, 0.8842, 0.0092)
Mg (0.6342, 0.6250, 0.5092)
Mg (0.8750, 0.3658, 0.9908)
Tl (0.0000, 0.0000, 0.0000)
Tl (0.7500, 0.2500, 0.5000)
I (0.2500, 0.7500, 0.5000)
I (0.5000, 0.5000, 0.0000)

Calculated values
Formation energy without anion corrections ... -0.45 eV per formula unit
Symmetry ... I-42d (122)


Here is a PBEsol-optimized structure of KZnAg from Alexandria via LeMat-Bulk. Energies are from SCAN.

Lattice parameters (Å, degrees): 4.4797 4.4797 4.7381 90.00 90.00 120.00
Positions (direct):
K (0.0000, 0.0000, 0.0000)
Zn (0.3333, 0.6667, 0.5000)
Ag (0.6667, 0.3333, 0.5000)

Calculated values
Formation enthalpy at 0 K ... 0.073 eV/atom
Symmetry ... P-6m2 (187)


Here is a PBEsol-optimized structure of SrCaIn from Alexandria via LeMat-Bulk. Energies are from SCAN.

Lattice parameters (Å, degrees): 7.3839 7.3839 7.3839 149.26 149.26 44.03
Positions (direct):
Sr (0.0000, 0.0000, 0.0000)
Ca (0.2777, 0.2777, 0.0000)
In (0.6503, 0.6503, 0.0000)

Calculated values
Formation enthalpy at 0 K ... -0.411 eV/atom
Symmetry ... I4mm (107)


| no. | DOS(E_F) (states/eV/atom) | M_tot (μB/cell) |
| --- | --- | --- |
| 1 | 0.62 | 2.3 |
| 2 | 0.61 | 0.7 |
| 3 | 1.35 | 0.0 |
| 4 | 0.06 | 0.0 |
| 5 | 0.87 | 4.1 |
| 6 | 0.27 | 0.0 |
| 7 | 0.39 | 0.0 |
| 8 | 0.76 | 0.1 |